Entry from Alexandria: a relaxed Ce2MgRe crystal (PBE).

Cell: 3.9279 3.9279 30.2962 Å, 90.00 90.00 120.00°
Space group R-3m (No. 166, hexagonal axes)
Symmetry-distinct sites (fractional):
Ce 0.0000 0.0000 0.1159 [6 per cell]
Mg 0.0000 0.0000 0.0000 [3 per cell]
Re 0.0000 0.0000 0.5000 [3 per cell]

## Properties
Its energy of formation is 1.89 eV/f.u. The calculation puts the total energy at -72.06 eV for the cell shown.



Entry from Alexandria: a relaxed Ce2MgRe crystal (PBE).

Cell: 4.977 4.977 3.702 Å, 90.00 90.00 90.00°
Space group P4/mmm (No. 123)
Symmetry-distinct sites (fractional):
Ce 0.000 0.500 0.000 [2 per cell]
Mg 0.000 0.000 0.500 [1 per cell]
Re 0.500 0.500 0.500 [1 per cell]

## Properties
Its energy of formation is 0.77 eV/f.u. The calculation puts the total energy at -25.14 eV for the cell shown.



Entry from Alexandria: a relaxed CeMgScRe crystal (PBE).

Cell: 6.945 6.945 6.945 Å, 90.00 90.00 90.00°
Space group F-43m (No. 216)
Symmetry-distinct sites (fractional):
Ce 0.000 0.000 0.000 [4 per cell]
Mg 0.250 0.250 0.750 [4 per cell]
Sc 0.000 0.000 0.500 [4 per cell]
Re 0.250 0.250 0.250 [4 per cell]

## Properties
Its energy of formation is 0.25 eV/f.u. The calculation puts the total energy at -104.25 eV for the cell shown.



Entry from Alexandria: a relaxed CeSmMgRe crystal (PBE).

Cell: 7.207 7.207 7.207 Å, 90.00 90.00 90.00°
Space group F-43m (No. 216)
Symmetry-distinct sites (fractional):
Ce 0.000 0.000 0.000 [4 per cell]
Sm 0.000 0.000 0.500 [4 per cell]
Mg 0.250 0.250 0.250 [4 per cell]
Re 0.250 0.250 0.750 [4 per cell]

## Properties
Its energy of formation is 0.70 eV/f.u. The calculation puts the total energy at -95.98 eV for the cell shown.